# Ho8ZnHg2 | Alexandria | PBE-GGA | relaxed
data_Ho8ZnHg2
_symmetry_space_group_name_H-M 'P 1'
_symmetry_Int_Tables_number 1
_cell_length_a 5.168
_cell_length_b 6.863
_cell_length_c 9.310
_cell_angle_alpha 105.08
_cell_angle_beta 106.12
_cell_angle_gamma 90.00
loop_
_symmetry_equiv_pos_as_xyz
'x,y,z'
loop_
_atom_site_label
_atom_site_fract_x
_atom_site_fract_y
_atom_site_fract_z
Ho1 0.409 0.546 0.818
Ho2 0.661 0.970 0.323
Ho3 0.802 0.691 0.604
Ho4 0.977 0.225 0.954
Ho5 0.198 0.309 0.396
Ho6 0.339 0.030 0.677
Ho7 0.591 0.454 0.182
Ho8 0.023 0.775 0.046
Zn1 0.500 0.000 0.000
Hg1 0.814 0.273 0.628
Hg2 0.186 0.727 0.372
# SG = No. 12

# Ho3ZnHg | Alexandria | PBE-GGA | relaxed
data_Ho3ZnHg
_symmetry_space_group_name_H-M 'P 1'
_symmetry_Int_Tables_number 1
_cell_length_a 5.094
_cell_length_b 5.099
_cell_length_c 10.241
_cell_angle_alpha 90.00
_cell_angle_beta 75.60
_cell_angle_gamma 90.00
loop_
_symmetry_equiv_pos_as_xyz
'x,y,z'
loop_
_atom_site_label
_atom_site_fract_x
_atom_site_fract_y
_atom_site_fract_z
Ho1 0.758 0.250 0.132
Ho2 0.387 0.250 0.874
Ho3 0.573 0.250 0.502
Ho4 0.261 0.750 0.126
Ho5 0.890 0.750 0.868
Ho6 0.075 0.750 0.498
Zn1 0.480 0.750 0.688
Zn2 0.168 0.250 0.312
Hg1 0.665 0.750 0.318
Hg2 0.983 0.250 0.682
# SG = No. 63

# Ho4ZnHg5 | Alexandria | PBE-GGA | relaxed
data_Ho4ZnHg5
_symmetry_space_group_name_H-M 'P 1'
_symmetry_Int_Tables_number 1
_cell_length_a 3.695
_cell_length_b 3.695
_cell_length_c 17.790
_cell_angle_alpha 90.00
_cell_angle_beta 90.00
_cell_angle_gamma 90.00
loop_
_symmetry_equiv_pos_as_xyz
'x,y,z'
loop_
_atom_site_label
_atom_site_fract_x
_atom_site_fract_y
_atom_site_fract_z
Ho1 0.000 0.000 0.186
Ho2 0.000 0.000 0.395
Ho3 0.000 0.000 0.605
Ho4 0.000 0.000 0.814
Zn1 0.000 0.000 0.000
Hg1 0.500 0.500 0.087
Hg2 0.500 0.500 0.293
Hg3 0.500 0.500 0.500
Hg4 0.500 0.500 0.707
Hg5 0.500 0.500 0.913
# SG = No. 123

# Ho4Zn3Hg | Alexandria | PBE-GGA | relaxed
data_Ho4Zn3Hg
_symmetry_space_group_name_H-M 'P 1'
_symmetry_Int_Tables_number 1
_cell_length_a 3.700
_cell_length_b 4.565
_cell_length_c 11.304
_cell_angle_alpha 90.00
_cell_angle_beta 90.00
_cell_angle_gamma 90.00
loop_
_symmetry_equiv_pos_as_xyz
'x,y,z'
loop_
_atom_site_label
_atom_site_fract_x
_atom_site_fract_y
_atom_site_fract_z
Ho1 0.500 0.500 0.354
Ho2 0.000 0.500 0.842
Ho3 0.000 0.000 0.157
Ho4 0.500 0.000 0.650
Zn1 0.000 0.500 0.571
Zn2 0.000 0.000 0.430
Zn3 0.500 0.000 0.921
Hg1 0.500 0.500 0.074
# SG = No. 25

# Ho6Zn2Hg | Alexandria | PBE-GGA | relaxed
data_Ho6Zn2Hg
_symmetry_space_group_name_H-M 'P 1'
_symmetry_Int_Tables_number 1
_cell_length_a 4.950
_cell_length_b 4.950
_cell_length_c 11.208
_cell_angle_alpha 102.76
_cell_angle_beta 102.76
_cell_angle_gamma 90.00
loop_
_symmetry_equiv_pos_as_xyz
'x,y,z'
loop_
_atom_site_label
_atom_site_fract_x
_atom_site_fract_y
_atom_site_fract_z
Ho1 0.913 0.413 0.826
Ho2 0.413 0.913 0.826
Ho3 0.087 0.587 0.174
Ho4 0.750 0.250 0.500
Ho5 0.250 0.750 0.500
Ho6 0.587 0.087 0.174
Zn1 0.333 0.333 0.666
Zn2 0.667 0.667 0.334
Hg1 0.000 0.000 0.000
# SG = No. 139

# HoZnHg2 | Alexandria | PBE-GGA | relaxed
data_HoZnHg2
_symmetry_space_group_name_H-M 'P 1'
_symmetry_Int_Tables_number 1
_cell_length_a 4.851
_cell_length_b 3.519
_cell_length_c 10.589
_cell_angle_alpha 99.56
_cell_angle_beta 90.00
_cell_angle_gamma 90.00
loop_
_symmetry_equiv_pos_as_xyz
'x,y,z'
loop_
_atom_site_label
_atom_site_fract_x
_atom_site_fract_y
_atom_site_fract_z
Ho1 0.250 0.902 0.805
Ho2 0.750 0.098 0.195
Zn1 0.750 0.336 0.673
Zn2 0.250 0.664 0.327
Hg1 0.250 0.276 0.552
Hg2 0.750 0.724 0.448
Hg3 0.750 0.463 0.926
Hg4 0.250 0.537 0.074
# SG = No. 63

# Ho4Zn3Hg | Alexandria | PBE-GGA | relaxed
data_Ho4Zn3Hg
_symmetry_space_group_name_H-M 'P 1'
_symmetry_Int_Tables_number 1
_cell_length_a 5.062
_cell_length_b 7.247
_cell_length_c 10.125
_cell_angle_alpha 90.00
_cell_angle_beta 90.00
_cell_angle_gamma 90.00
loop_
_symmetry_equiv_pos_as_xyz
'x,y,z'
loop_
_atom_site_label
_atom_site_fract_x
_atom_site_fract_y
_atom_site_fract_z
Zn1 0.000 0.000 0.000
Zn2 0.000 0.000 0.500
Zn3 0.501 0.000 0.750
Zn4 0.499 0.000 0.250
Zn5 0.500 0.500 0.750
Zn6 0.500 0.500 0.250
Ho1 0.500 0.759 0.000
Ho2 0.500 0.759 0.500
Ho3 0.500 0.241 0.000
Ho4 0.500 0.241 0.500
Ho5 0.000 0.759 0.750
Ho6 0.000 0.759 0.250
Ho7 0.000 0.241 0.250
Ho8 0.000 0.241 0.750
Hg1 0.000 0.500 0.000
Hg2 0.000 0.500 0.500
# SG = No. 123

# Ho4ZnHg2 | Alexandria | PBE-GGA | relaxed
data_Ho4ZnHg2
_symmetry_space_group_name_H-M 'P 1'
_symmetry_Int_Tables_number 1
_cell_length_a 5.125
_cell_length_b 5.125
_cell_length_c 8.813
_cell_angle_alpha 73.10
_cell_angle_beta 73.10
_cell_angle_gamma 60.00
loop_
_symmetry_equiv_pos_as_xyz
'x,y,z'
loop_
_atom_site_label
_atom_site_fract_x
_atom_site_fract_y
_atom_site_fract_z
Ho1 0.875 0.875 0.375
Ho2 0.125 0.125 0.625
Ho3 0.624 0.624 0.128
Ho4 0.376 0.376 0.872
Zn1 0.000 0.000 0.000
Hg1 0.750 0.750 0.749
Hg2 0.250 0.250 0.251
# SG = No. 166

# HoZn3Hg3 | Alexandria | PBE-GGA | relaxed
data_HoZn3Hg3
_symmetry_space_group_name_H-M 'P 1'
_symmetry_Int_Tables_number 1
_cell_length_a 7.236
_cell_length_b 7.236
_cell_length_c 7.236
_cell_angle_alpha 90.00
_cell_angle_beta 90.00
_cell_angle_gamma 90.00
loop_
_symmetry_equiv_pos_as_xyz
'x,y,z'
loop_
_atom_site_label
_atom_site_fract_x
_atom_site_fract_y
_atom_site_fract_z
Zn1 0.000 0.250 0.500
Zn2 0.000 0.750 0.500
Zn3 0.500 0.000 0.750
Zn4 0.750 0.500 0.000
Zn5 0.500 0.000 0.250
Zn6 0.250 0.500 0.000
Hg1 0.250 0.000 0.500
Hg2 0.000 0.500 0.250
Hg3 0.500 0.750 0.000
Hg4 0.750 0.000 0.500
Hg5 0.000 0.500 0.750
Hg6 0.500 0.250 0.000
Ho1 0.500 0.500 0.500
Ho2 0.000 0.000 0.000
# SG = No. 223

# HoZrZnHg | Alexandria | PBE-GGA | relaxed
data_HoZrZnHg
_symmetry_space_group_name_H-M 'P 1'
_symmetry_Int_Tables_number 1
_cell_length_a 5.007
_cell_length_b 5.007
_cell_length_c 5.007
_cell_angle_alpha 60.00
_cell_angle_beta 60.00
_cell_angle_gamma 60.00
loop_
_symmetry_equiv_pos_as_xyz
'x,y,z'
loop_
_atom_site_label
_atom_site_fract_x
_atom_site_fract_y
_atom_site_fract_z
Zn1 0.250 0.250 0.250
Hg1 0.750 0.750 0.750
Zr1 0.000 0.000 0.000
Ho1 0.500 0.500 0.500
# SG = No. 216

# HoZr2Hg | Alexandria | PBE-GGA | relaxed
data_HoZr2Hg
_symmetry_space_group_name_H-M 'P 1'
_symmetry_Int_Tables_number 1
_cell_length_a 3.163
_cell_length_b 3.163
_cell_length_c 11.624
_cell_angle_alpha 82.18
_cell_angle_beta 82.18
_cell_angle_gamma 60.00
loop_
_symmetry_equiv_pos_as_xyz
'x,y,z'
loop_
_atom_site_label
_atom_site_fract_x
_atom_site_fract_y
_atom_site_fract_z
Hg1 0.500 0.500 0.500
Zr1 0.093 0.093 0.721
Zr2 0.907 0.907 0.279
Ho1 0.000 0.000 0.000
# SG = No. 166

# HoZr2Hg | Alexandria | PBE-GGA | relaxed
data_HoZr2Hg
_symmetry_space_group_name_H-M 'P 1'
_symmetry_Int_Tables_number 1
_cell_length_a 4.627
_cell_length_b 4.504
_cell_length_c 4.504
_cell_angle_alpha 90.00
_cell_angle_beta 90.00
_cell_angle_gamma 90.00
loop_
_symmetry_equiv_pos_as_xyz
'x,y,z'
loop_
_atom_site_label
_atom_site_fract_x
_atom_site_fract_y
_atom_site_fract_z
Hg1 0.500 0.500 0.500
Zr1 0.000 0.000 0.500
Zr2 0.000 0.500 0.000
Ho1 0.500 0.000 0.000
# SG = No. 123

# HoZr4Hg5 | Alexandria | PBE-GGA | relaxed
data_HoZr4Hg5
_symmetry_space_group_name_H-M 'P 1'
_symmetry_Int_Tables_number 1
_cell_length_a 3.570
_cell_length_b 3.570
_cell_length_c 17.669
_cell_angle_alpha 90.00
_cell_angle_beta 90.00
_cell_angle_gamma 90.00
loop_
_symmetry_equiv_pos_as_xyz
'x,y,z'
loop_
_atom_site_label
_atom_site_fract_x
_atom_site_fract_y
_atom_site_fract_z
Ho1 0.000 0.000 0.000
Zr1 0.000 0.000 0.207
Zr2 0.000 0.000 0.402
Zr3 0.000 0.000 0.598
Zr4 0.000 0.000 0.793
Hg1 0.500 0.500 0.108
Hg2 0.500 0.500 0.304
Hg3 0.500 0.500 0.500
Hg4 0.500 0.500 0.696
Hg5 0.500 0.500 0.892
# SG = No. 123

# Ho2ZrHg | Alexandria | PBE-GGA | relaxed
data_Ho2ZrHg
_symmetry_space_group_name_H-M 'P 1'
_symmetry_Int_Tables_number 1
_cell_length_a 3.313
_cell_length_b 3.313
_cell_length_c 11.606
_cell_angle_alpha 81.80
_cell_angle_beta 81.80
_cell_angle_gamma 60.00
loop_
_symmetry_equiv_pos_as_xyz
'x,y,z'
loop_
_atom_site_label
_atom_site_fract_x
_atom_site_fract_y
_atom_site_fract_z
Hg1 0.500 0.500 0.500
Zr1 0.000 0.000 0.000
Ho1 0.092 0.092 0.723
Ho2 0.908 0.908 0.277
# SG = No. 166

# Ho5ZrHg6 | Alexandria | PBE-GGA | relaxed
data_Ho5ZrHg6
_symmetry_space_group_name_H-M 'P 1'
_symmetry_Int_Tables_number 1
_cell_length_a 5.186
_cell_length_b 7.367
_cell_length_c 8.197
_cell_angle_alpha 90.00
_cell_angle_beta 71.92
_cell_angle_gamma 90.00
loop_
_symmetry_equiv_pos_as_xyz
'x,y,z'
loop_
_atom_site_label
_atom_site_fract_x
_atom_site_fract_y
_atom_site_fract_z
Ho1 0.669 0.500 0.663
Ho2 0.337 0.000 0.324
Ho3 0.000 0.500 0.000
Ho4 0.663 0.000 0.676
Ho5 0.331 0.500 0.337
Zr1 0.000 0.000 0.000
Hg1 0.833 0.754 0.332
Hg2 0.833 0.246 0.332
Hg3 0.500 0.253 0.000
Hg4 0.500 0.747 0.000
Hg5 0.167 0.754 0.668
Hg6 0.167 0.246 0.668
# SG = No. 10

# HoZrHg2 | Alexandria | PBE-GGA | relaxed
data_HoZrHg2
_symmetry_space_group_name_H-M 'P 1'
_symmetry_Int_Tables_number 1
_cell_length_a 3.625
_cell_length_b 3.625
_cell_length_c 7.160
_cell_angle_alpha 90.00
_cell_angle_beta 90.00
_cell_angle_gamma 90.00
loop_
_symmetry_equiv_pos_as_xyz
'x,y,z'
loop_
_atom_site_label
_atom_site_fract_x
_atom_site_fract_y
_atom_site_fract_z
Hg1 0.000 0.000 0.762
Hg2 0.000 0.000 0.238
Zr1 0.500 0.500 0.000
Ho1 0.500 0.500 0.500
# SG = No. 123

# HoZrHg | Alexandria | PBE-GGA | relaxed
data_HoZrHg
_symmetry_space_group_name_H-M 'P 1'
_symmetry_Int_Tables_number 1
_cell_length_a 3.421
_cell_length_b 3.421
_cell_length_c 6.776
_cell_angle_alpha 104.62
_cell_angle_beta 104.62
_cell_angle_gamma 90.00
loop_
_symmetry_equiv_pos_as_xyz
'x,y,z'
loop_
_atom_site_label
_atom_site_fract_x
_atom_site_fract_y
_atom_site_fract_z
Hg1 0.661 0.661 0.321
Zr1 0.008 0.008 0.015
Ho1 0.332 0.332 0.664
# SG = No. 107

# HoZrHg2 | Alexandria | PBE-GGA | relaxed
data_HoZrHg2
_symmetry_space_group_name_H-M 'P 1'
_symmetry_Int_Tables_number 1
_cell_length_a 4.171
_cell_length_b 4.738
_cell_length_c 4.738
_cell_angle_alpha 90.00
_cell_angle_beta 90.00
_cell_angle_gamma 90.00
loop_
_symmetry_equiv_pos_as_xyz
'x,y,z'
loop_
_atom_site_label
_atom_site_fract_x
_atom_site_fract_y
_atom_site_fract_z
Hg1 0.000 0.000 0.500
Hg2 0.000 0.500 0.000
Zr1 0.500 0.000 0.000
Ho1 0.500 0.500 0.500
# SG = No. 123

# HoZrHg | Alexandria | PBE-GGA | relaxed
data_HoZrHg
_symmetry_space_group_name_H-M 'P 1'
_symmetry_Int_Tables_number 1
_cell_length_a 3.391
_cell_length_b 5.175
_cell_length_c 8.545
_cell_angle_alpha 90.00
_cell_angle_beta 101.44
_cell_angle_gamma 90.00
loop_
_symmetry_equiv_pos_as_xyz
'x,y,z'
loop_
_atom_site_label
_atom_site_fract_x
_atom_site_fract_y
_atom_site_fract_z
Hg1 0.438 0.250 0.875
Hg2 0.562 0.750 0.125
Ho1 0.901 0.750 0.802
Ho2 0.099 0.250 0.198
Zr1 0.774 0.250 0.549
Zr2 0.226 0.750 0.451
# SG = No. 63

# Ho5Zr3Hg12 | Alexandria | PBE-GGA | relaxed
data_Ho5Zr3Hg12
_symmetry_space_group_name_H-M 'P 1'
_symmetry_Int_Tables_number 1
_cell_length_a 14.679
_cell_length_b 14.679
_cell_length_c 14.679
_cell_angle_alpha 109.47
_cell_angle_beta 109.47
_cell_angle_gamma 109.47
loop_
_symmetry_equiv_pos_as_xyz
'x,y,z'
loop_
_atom_site_label
_atom_site_fract_x
_atom_site_fract_y
_atom_site_fract_z
Zr1 0.750 0.375 0.125
Zr2 0.875 0.750 0.125
Zr3 0.375 0.750 0.625
Zr4 0.250 0.125 0.375
Zr5 0.875 0.125 0.250
Zr6 0.375 0.625 0.250
Zr7 0.625 0.375 0.750
Zr8 0.125 0.875 0.750
Zr9 0.750 0.875 0.625
Zr10 0.625 0.250 0.375
Zr11 0.125 0.250 0.875
Zr12 0.250 0.625 0.875
Ho1 0.125 0.375 0.250
Ho2 0.000 0.500 0.000
Ho3 0.000 0.000 0.000
Ho4 0.375 0.250 0.125
Ho5 0.500 0.000 0.500
Ho6 0.500 0.500 0.000
Ho7 0.125 0.750 0.375
Ho8 0.750 0.125 0.875
Ho9 0.750 0.625 0.375
Ho10 0.375 0.125 0.750
Ho11 0.625 0.875 0.250
Ho12 0.500 0.500 0.500
Ho13 0.500 0.000 0.000
Ho14 0.000 0.000 0.500
Ho15 0.250 0.375 0.625
Ho16 0.250 0.875 0.125
Ho17 0.000 0.500 0.500
Ho18 0.875 0.250 0.625
Ho19 0.625 0.750 0.875
Ho20 0.875 0.625 0.750
Hg1 0.732 0.146 0.072
Hg2 0.340 0.572 0.425
Hg3 0.928 0.354 0.268
Hg4 0.572 0.232 0.146
Hg5 0.585 0.732 0.660
Hg6 0.928 0.575 0.160
Hg7 0.340 0.768 0.415
Hg8 0.075 0.915 0.146
Hg9 0.575 0.928 0.660
Hg10 0.732 0.585 0.160
Hg11 0.768 0.428 0.354
Hg12 0.840 0.925 0.072
Hg13 0.146 0.732 0.572
Hg14 0.354 0.425 0.085
Hg15 0.085 0.925 0.354
Hg16 0.415 0.146 0.575
Hg17 0.085 0.160 0.232
Hg18 0.428 0.660 0.075
Hg19 0.840 0.915 0.268
Hg20 0.146 0.415 0.075
Hg21 0.354 0.928 0.768
Hg22 0.575 0.646 0.415
Hg23 0.925 0.840 0.572
Hg24 0.768 0.340 0.915
Hg25 0.425 0.354 0.585
Hg26 0.075 0.160 0.428
Hg27 0.232 0.660 0.085
Hg28 0.160 0.085 0.732
Hg29 0.646 0.072 0.232
Hg30 0.854 0.585 0.925
Hg31 0.572 0.340 0.925
Hg32 0.585 0.854 0.425
Hg33 0.915 0.840 0.768
Hg34 0.915 0.075 0.646
Hg35 0.854 0.268 0.428
Hg36 0.160 0.075 0.928
Hg37 0.646 0.575 0.915
Hg38 0.425 0.072 0.340
Hg39 0.268 0.415 0.840
Hg40 0.232 0.572 0.646
Hg41 0.925 0.085 0.854
Hg42 0.660 0.232 0.585
Hg43 0.428 0.768 0.854
Hg44 0.072 0.425 0.840
Hg45 0.415 0.268 0.340
Hg46 0.072 0.646 0.732
Hg47 0.660 0.428 0.575
Hg48 0.268 0.854 0.928
# SG = No. 230

# HoZrHg | Alexandria | PBE-GGA | relaxed
data_HoZrHg
_symmetry_space_group_name_H-M 'P 1'
_symmetry_Int_Tables_number 1
_cell_length_a 3.468
_cell_length_b 5.025
_cell_length_c 5.025
_cell_angle_alpha 120.00
_cell_angle_beta 90.00
_cell_angle_gamma 90.00
loop_
_symmetry_equiv_pos_as_xyz
'x,y,z'
loop_
_atom_site_label
_atom_site_fract_x
_atom_site_fract_y
_atom_site_fract_z
Hg1 0.168 0.333 0.667
Zr1 0.166 0.000 0.000
Ho1 0.666 0.667 0.333
# SG = No. 156

Computed raw total energy (eV/atom) in order:
-3.712, -3.364, -2.484, -3.131, -3.391, -1.889, -3.178, -3.161, -0.968, -3.898, -5.247, -5.567, -4.223, -4.299, -3.176, -3.710, -4.687, -3.692, -4.720, -2.432, -4.515
Computed energy of formation (eV per atom) in order:
-0.212, -0.302, -0.375, -0.326, -0.023, -0.275, -0.374, -0.277, 0.361, -0.223, 0.247, -0.073, -0.195, 0.202, -0.406, -0.278, -0.211, -0.260, -0.244, 0.176, -0.039